4
Lattice="2.1631 -2.8999 0.0000 2.1631 2.8999 0.0000 0.0000 0.0000 8.5898" Properties=species:S:1:pos:R:3 comment="CaSiCl2 (PBE-GGA, relaxed)" e_tot_ev_per_atom=-3.507 magnetic_moment_mub_per_cell=0.000 volume_a3_per_atom=26.9 pbc="T T T"
Ca 0.0000 0.0000 0.0000
Si 2.1631 0.0000 6.4319
Cl 0.0000 0.0000 5.2176
Cl 2.1631 0.0000 1.5498